Record 1
Computed, not measured: a relaxed structure of Li2Pu2Pd3 at the PBE level of DFT.

Computed properties:
excess energy over the best structure of this formula in the dataset: 0.0 meV per atom
E_form: -0.366 eV/atom
energy: -101.269 eV/cell

```
data_Li2Pu2Pd3
_symmetry_space_group_name_H-M 'C m m m'
_symmetry_Int_Tables_number 65
_symmetry_space_group_name_Hall '-C 2 2'
_cell_length_a 3.856
_cell_length_b 22.532
_cell_length_c 2.937
_cell_angle_alpha 90.00
_cell_angle_beta 90.00
_cell_angle_gamma 90.00
loop_
_atom_site_label
_atom_site_fract_x
_atom_site_fract_y
_atom_site_fract_z
Li1 0.000 0.219 0.000
Pu1 0.000 0.083 0.000
Pd1 0.000 0.332 0.500
Pd2 0.000 0.500 0.500
```

---

Record 2
Computed, not measured: a relaxed structure of ErMnCuPd at the PBE level of DFT.

Computed properties:
E_form: -0.278 eV/atom
energy: -96.534 eV/cell

```
data_ErMnCuPd
_symmetry_space_group_name_H-M 'F -4 3 m'
_symmetry_Int_Tables_number 216
_symmetry_space_group_name_Hall 'F -4 2 3'
_cell_length_a 6.555
_cell_length_b 6.555
_cell_length_c 6.555
_cell_angle_alpha 90.00
_cell_angle_beta 90.00
_cell_angle_gamma 90.00
loop_
_atom_site_label
_atom_site_fract_x
_atom_site_fract_y
_atom_site_fract_z
Er1 0.000 0.000 0.000
Mn1 0.000 0.000 0.500
Cu1 0.250 0.250 0.250
Pd1 0.250 0.250 0.750
```

---

Record 3
Computed, not measured: a relaxed structure of SmDyIrPt at the PBE level of DFT.

Computed properties:
excess energy over the best structure of this formula in the dataset: 33.1 meV per atom
E_form: -0.947 eV/atom
energy: -112.048 eV/cell

```
data_SmDyIrPt
_symmetry_space_group_name_H-M 'F -4 3 m'
_symmetry_Int_Tables_number 216
_symmetry_space_group_name_Hall 'F -4 2 3'
_cell_length_a 6.996
_cell_length_b 6.996
_cell_length_c 6.996
_cell_angle_alpha 90.00
_cell_angle_beta 90.00
_cell_angle_gamma 90.00
loop_
_atom_site_label
_atom_site_fract_x
_atom_site_fract_y
_atom_site_fract_z
Sm1 0.000 0.000 0.000
Dy1 0.000 0.000 0.500
Ir1 0.250 0.250 0.250
Pt1 0.250 0.250 0.750
```

---

Record 4
Computed, not measured: a relaxed structure of Fe4Ir12Ru3 at the PBE level of DFT.

Computed properties:
E_form: 0.740 eV/atom
energy: -307.907 eV/cell

```
data_Fe4Ir12Ru3
_symmetry_space_group_name_H-M 'I m -3'
_symmetry_Int_Tables_number 204
_symmetry_space_group_name_Hall '-I 2 2 3'
_cell_length_a 9.144
_cell_length_b 9.144
_cell_length_c 9.144
_cell_angle_alpha 90.00
_cell_angle_beta 90.00
_cell_angle_gamma 90.00
loop_
_atom_site_label
_atom_site_fract_x
_atom_site_fract_y
_atom_site_fract_z
Fe1 0.250 0.250 0.250
Ir1 0.000 0.263 0.360
Ru1 0.000 0.000 0.500
```

---

Record 5
Computed, not measured: a relaxed structure of MgPbW at the PBE level of DFT.

Computed properties:
excess energy over the best structure of this formula in the dataset: 12.8 meV per atom
E_form: 0.680 eV/atom
energy: -16.218 eV/cell

```
data_MgPbW
_symmetry_space_group_name_H-M 'P 3 m 1'
_symmetry_Int_Tables_number 156
_cell_length_a 3.1119
_cell_length_b 3.1119
_cell_length_c 7.4792
_cell_angle_alpha 90.00
_cell_angle_beta 90.00
_cell_angle_gamma 120.00
loop_
_symmetry_equiv_pos_as_xyz
'x,y,z'
'-y,x-y,z'
'-x+y,-x,z'
'-y,-x,z'
'-x+y,y,z'
'x,x-y,z'
loop_
_atom_site_label
_atom_site_fract_x
_atom_site_fract_y
_atom_site_fract_z
Mg1 0.0000 0.0000 0.0000
Pb1 0.6667 0.3333 0.3706
W1 0.3333 0.6667 0.7017
```

---

Record 6
Computed, not measured: a relaxed structure of ZnSb3Ir at the PBE level of DFT.

Computed properties:
excess energy over the best structure of this formula in the dataset: 0.0 meV per atom
energy: -19.652 eV/cell
uncorrected formation energy: 2.850 eV per formula unit

```
data_ZnSb3Ir
_symmetry_space_group_name_H-M 'P m -3 m'
_symmetry_Int_Tables_number 221
_symmetry_space_group_name_Hall '-P 4 2 3'
_cell_length_a 5.238
_cell_length_b 5.238
_cell_length_c 5.238
_cell_angle_alpha 90.00
_cell_angle_beta 90.00
_cell_angle_gamma 90.00
loop_
_atom_site_label
_atom_site_fract_x
_atom_site_fract_y
_atom_site_fract_z
Zn1 0.000 0.000 0.000
Sb1 0.000 0.500 0.500
Ir1 0.500 0.500 0.500
```